# NaReOs2 | Alexandria | PBE | relaxed
data_NaReOs2
_cell_length_a 6.1901
_cell_length_b 6.1901
_cell_length_c 6.1901
_cell_angle_alpha 90.00
_cell_angle_beta 90.00
_cell_angle_gamma 90.00
_symmetry_space_group_name_H-M 'F m -3 m'
_symmetry_Int_Tables_number 225
_symmetry_space_group_name_Hall '-F 4 2 3'
loop_
_atom_site_label
_atom_site_type_symbol
_atom_site_fract_x
_atom_site_fract_y
_atom_site_fract_z
Na1 Na 0.0000 0.0000 0.0000
Re1 Re 0.0000 0.0000 0.5000
Os1 Os 0.2500 0.2500 0.2500
# Excess energy over the best structure of this formula in the dataset in kJ/mol of formula units: 0.0
# Calculated volume in Å³ per atom: 14.82
# Density of states at the Fermi level in states/eV/f.u.: 1.51
# VASP energy in eV per atom: -8.34
# ΔE_f in eV per atom: 0.716